This record from Alexandria via LeMat-Bulk describes crystalline Li3Np3VS8 at its relaxed geometry. The functional is PBE-GGA.

The structure in POSCAR format:
```
Li3Np3VS8
1.0
7.619 0.000 -0.001
-3.810 6.599 -0.023
-0.001 -4.375 6.191
Np S Li V
3 8 3 1
Cartesian
-1.905 1.112 3.084
3.809 -2.187 3.095
1.905 1.112 3.084
2.039 5.429 1.610
3.809 2.362 1.621
-2.039 5.429 1.610
0.000 -0.138 4.547
1.770 -3.205 4.558
5.849 -3.205 4.558
3.810 0.018 4.683
0.000 2.206 1.485
1.905 3.300 -0.012
-1.905 3.300 -0.011
0.000 0.000 0.000
0.000 -2.187 3.096
```

VASP energy (eV per atom): -7.0647
Formation energy without anion corrections (eV per atom): -1.2845

This record from Alexandria via LeMat-Bulk describes crystalline Li3YNp3S8 at its relaxed geometry. The functional is PBE-GGA.

The structure in POSCAR format:
```
Li3YNp3S8
1.0
-6.656 -3.470 -2.473
4.830 -3.803 4.969
-4.018 6.076 2.269
S Y Np Li
8 1 3 3
Cartesian
-0.259 -1.248 2.441
-6.015 -1.072 -1.264
-2.246 1.779 3.542
0.171 -0.125 6.029
-5.585 0.051 2.324
-3.160 -1.862 4.791
-2.684 0.665 -0.026
-3.598 -2.976 1.224
-2.009 3.038 1.135
-5.337 1.303 -0.102
0.406 1.137 3.619
-2.922 -0.599 2.383
-0.913 -3.637 1.248
2.415 -1.902 2.485
0.000 0.000 0.000
```

VASP energy (eV per atom): -7.0689
Formation energy without anion corrections (eV per atom): -1.4657

VASP energy of number 2 (Li3YNp3S8)?
-7.0689 eV per atom